1.
# Tb2BeSi4Pd3

A relaxed structure of Tb2BeSi4Pd3 (GGA-PBE, Alexandria via LeMat-Bulk).

```
data_Tb2BeSi4Pd3
_symmetry_space_group_name_H-M 'P -4 m 2'
_symmetry_Int_Tables_number 115
_cell_length_a 4.0155
_cell_length_b 4.0155
_cell_length_c 10.4536
_cell_angle_alpha 90.00
_cell_angle_beta 90.00
_cell_angle_gamma 90.00
loop_
_symmetry_equiv_pos_as_xyz
'x,y,z'
'y,-x,-z'
'-x,-y,z'
'-y,x,-z'
'-x,y,z'
'-y,-x,-z'
'x,-y,z'
'y,x,-z'
loop_
_atom_site_label
_atom_site_fract_x
_atom_site_fract_y
_atom_site_fract_z
_atom_site_occupancy
Tb1 0.0000 0.5000 0.2399 1
Be1 0.5000 0.5000 0.0000 1
Si1 0.0000 0.0000 0.5000 1
Si2 0.0000 0.5000 0.8680 1
Si3 0.5000 0.5000 0.5000 1
Pd1 0.0000 0.0000 0.0000 1
Pd2 0.0000 0.5000 0.6347 1
```

Properties
E_form (uncorrected) = -770 meV per atom
Magnetic moment = 0.00 μB/f.u.
Total energy = -5.795 eV per atom



2.
# Tb2Be3Si4Pd

A relaxed structure of Tb2Be3Si4Pd (GGA-PBE, Alexandria via LeMat-Bulk).

```
data_Tb2Be3Si4Pd
_symmetry_space_group_name_H-M 'P -4 m 2'
_symmetry_Int_Tables_number 115
_cell_length_a 3.9376
_cell_length_b 3.9376
_cell_length_c 9.8218
_cell_angle_alpha 90.00
_cell_angle_beta 90.00
_cell_angle_gamma 90.00
loop_
_symmetry_equiv_pos_as_xyz
'x,y,z'
'y,-x,-z'
'-x,-y,z'
'-y,x,-z'
'-x,y,z'
'-y,-x,-z'
'x,-y,z'
'y,x,-z'
loop_
_atom_site_label
_atom_site_fract_x
_atom_site_fract_y
_atom_site_fract_z
_atom_site_occupancy
Tb1 0.0000 0.5000 0.2435 1
Be1 0.0000 0.5000 0.8696 1
Be2 0.5000 0.5000 0.5000 1
Si1 0.0000 0.0000 0.0000 1
Si2 0.0000 0.5000 0.6420 1
Si3 0.5000 0.5000 0.0000 1
Pd1 0.0000 0.0000 0.5000 1
```

Properties
E_form (uncorrected) = -529 meV per atom
Magnetic moment = 0.00 μB/f.u.
Total energy = -5.261 eV per atom



3.
# Tb2Be4Si3Pd

A relaxed structure of Tb2Be4Si3Pd (GGA-PBE, Alexandria via LeMat-Bulk).

```
data_Tb2Be4Si3Pd
_symmetry_space_group_name_H-M 'P -4 m 2'
_symmetry_Int_Tables_number 115
_cell_length_a 3.8590
_cell_length_b 3.8590
_cell_length_c 9.7950
_cell_angle_alpha 90.00
_cell_angle_beta 90.00
_cell_angle_gamma 90.00
loop_
_symmetry_equiv_pos_as_xyz
'x,y,z'
'y,-x,-z'
'-x,-y,z'
'-y,x,-z'
'-x,y,z'
'-y,-x,-z'
'x,-y,z'
'y,x,-z'
loop_
_atom_site_label
_atom_site_fract_x
_atom_site_fract_y
_atom_site_fract_z
_atom_site_occupancy
Tb1 0.0000 0.5000 0.2447 1
Be1 0.0000 0.0000 0.0000 1
Be2 0.0000 0.5000 0.6347 1
Be3 0.5000 0.5000 0.0000 1
Si1 0.0000 0.5000 0.8670 1
Si2 0.5000 0.5000 0.5000 1
Pd1 0.0000 0.0000 0.5000 1
```

Properties
E_form (uncorrected) = -541 meV per atom
Magnetic moment = 0.00 μB/f.u.
Total energy = -5.103 eV per atom



4.
# BeSiTcPd

A relaxed structure of BeSiTcPd (GGA-PBE, Alexandria via LeMat-Bulk).

```
data_BeSiTcPd
_symmetry_space_group_name_H-M 'F -4 3 m'
_symmetry_Int_Tables_number 216
_symmetry_space_group_name_Hall 'F -4 2 3'
_cell_length_a 5.8136
_cell_length_b 5.8136
_cell_length_c 5.8136
_cell_angle_alpha 90.00
_cell_angle_beta 90.00
_cell_angle_gamma 90.00
loop_
_atom_site_label
_atom_site_fract_x
_atom_site_fract_y
_atom_site_fract_z
_atom_site_occupancy
Be1 0.0000 0.0000 0.0000 1
Si1 0.0000 0.0000 0.5000 1
Tc1 0.2500 0.2500 0.2500 1
Pd1 0.2500 0.2500 0.7500 1
```

Properties
E_form (uncorrected) = -437 meV per atom
Magnetic moment = 0.00 μB/f.u.
Total energy = -6.614 eV per atom



5.
# Th2BeSi4Pd3

A relaxed structure of Th2BeSi4Pd3 (GGA-PBE, Alexandria via LeMat-Bulk).

```
data_Th2BeSi4Pd3
_symmetry_space_group_name_H-M 'P -4 m 2'
_symmetry_Int_Tables_number 115
_cell_length_a 4.2092
_cell_length_b 4.2092
_cell_length_c 9.9473
_cell_angle_alpha 90.00
_cell_angle_beta 90.00
_cell_angle_gamma 90.00
loop_
_symmetry_equiv_pos_as_xyz
'x,y,z'
'y,-x,-z'
'-x,-y,z'
'-y,x,-z'
'-x,y,z'
'-y,-x,-z'
'x,-y,z'
'y,x,-z'
loop_
_atom_site_label
_atom_site_fract_x
_atom_site_fract_y
_atom_site_fract_z
_atom_site_occupancy
Th1 0.0000 0.5000 0.2469 1
Be1 0.5000 0.5000 0.0000 1
Si1 0.0000 0.0000 0.5000 1
Si2 0.0000 0.5000 0.8714 1
Si3 0.5000 0.5000 0.5000 1
Pd1 0.0000 0.0000 0.0000 1
Pd2 0.0000 0.5000 0.6242 1
```

Properties
E_form (uncorrected) = -780 meV per atom
Magnetic moment = 0.00 μB/f.u.
Total energy = -6.363 eV per atom



6.
# ThBeSi2Pd

A relaxed structure of ThBeSi2Pd (GGA-PBE, Alexandria via LeMat-Bulk).

```
data_ThBeSi2Pd
_symmetry_space_group_name_H-M 'I -4 m 2'
_symmetry_Int_Tables_number 119
_symmetry_space_group_name_Hall 'I -4 -2'
_cell_length_a 4.0942
_cell_length_b 4.0942
_cell_length_c 10.0663
_cell_angle_alpha 90.00
_cell_angle_beta 90.00
_cell_angle_gamma 90.00
loop_
_atom_site_label
_atom_site_fract_x
_atom_site_fract_y
_atom_site_fract_z
_atom_site_occupancy
Th1 0.0000 0.0000 0.0000 1
Be1 0.0000 0.5000 0.2500 1
Si1 0.0000 0.0000 0.3809 1
Pd1 0.0000 0.5000 0.7500 1
```

Properties
E_form (uncorrected) = -688 meV per atom
Magnetic moment = 0.00 μB/f.u.
Total energy = -6.125 eV per atom



7.
# ThBeSiPd6

A relaxed structure of ThBeSiPd6 (GGA-PBE, Alexandria via LeMat-Bulk).

```
data_ThBeSiPd6
_symmetry_space_group_name_H-M 'I m m a'
_symmetry_Int_Tables_number 74
_symmetry_space_group_name_Hall '-I 2b 2'
_cell_length_a 7.0420
_cell_length_b 8.3373
_cell_length_c 11.0543
_cell_angle_alpha 90.00
_cell_angle_beta 90.00
_cell_angle_gamma 90.00
loop_
_atom_site_label
_atom_site_fract_x
_atom_site_fract_y
_atom_site_fract_z
_atom_site_occupancy
Th1 0.0000 0.2500 0.1805 1
Be1 0.0000 0.0000 0.5000 1
Si1 0.2500 0.2500 0.7500 1
Pd1 0.0000 0.2500 0.4385 1
Pd2 0.0000 0.2500 0.8975 1
Pd3 0.2395 0.0096 0.6255 1
```

Properties
E_form (uncorrected) = -413 meV per atom
Magnetic moment = 0.00 μB/f.u.
Total energy = -5.716 eV per atom



8.
# Th2Be4Si3Pd

A relaxed structure of Th2Be4Si3Pd (GGA-PBE, Alexandria via LeMat-Bulk).

```
data_Th2Be4Si3Pd
_symmetry_space_group_name_H-M 'P -4 m 2'
_symmetry_Int_Tables_number 115
_cell_length_a 4.0170
_cell_length_b 4.0170
_cell_length_c 9.6255
_cell_angle_alpha 90.00
_cell_angle_beta 90.00
_cell_angle_gamma 90.00
loop_
_symmetry_equiv_pos_as_xyz
'x,y,z'
'y,-x,-z'
'-x,-y,z'
'-y,x,-z'
'-x,y,z'
'-y,-x,-z'
'x,-y,z'
'y,x,-z'
loop_
_atom_site_label
_atom_site_fract_x
_atom_site_fract_y
_atom_site_fract_z
_atom_site_occupancy
Th1 0.0000 0.5000 0.2454 1
Be1 0.0000 0.0000 0.0000 1
Be2 0.0000 0.5000 0.6291 1
Be3 0.5000 0.5000 0.0000 1
Si1 0.0000 0.5000 0.8716 1
Si2 0.5000 0.5000 0.5000 1
Pd1 0.0000 0.0000 0.5000 1
```

Properties
E_form (uncorrected) = -497 meV per atom
Magnetic moment = 0.00 μB/f.u.
Total energy = -5.618 eV per atom



9.
# BeTlSi2Pd

A relaxed structure of BeTlSi2Pd (GGA-PBE, Alexandria via LeMat-Bulk).

```
data_BeTlSi2Pd
_symmetry_space_group_name_H-M 'P 4/m m m'
_symmetry_Int_Tables_number 123
_symmetry_space_group_name_Hall '-P 4 2'
_cell_length_a 4.2555
_cell_length_b 4.2555
_cell_length_c 5.0258
_cell_angle_alpha 90.00
_cell_angle_beta 90.00
_cell_angle_gamma 90.00
loop_
_atom_site_label
_atom_site_fract_x
_atom_site_fract_y
_atom_site_fract_z
_atom_site_occupancy
Be1 0.0000 0.0000 0.0000 1
Tl1 0.0000 0.0000 0.5000 1
Si1 0.0000 0.5000 0.0000 1
Pd1 0.5000 0.5000 0.5000 1
```

Properties
E_form (uncorrected) = 612 meV per atom
Magnetic moment = 0.00 μB/f.u.
Total energy = -3.814 eV per atom



10.
# Tm2BeSiPd6

A relaxed structure of Tm2BeSiPd6 (GGA-PBE, Alexandria via LeMat-Bulk).

```
data_Tm2BeSiPd6
_symmetry_space_group_name_H-M 'C 1 2/m 1'
_symmetry_Int_Tables_number 12
_cell_length_a 9.9234
_cell_length_b 5.7725
_cell_length_c 6.9437
_cell_angle_alpha 90.00
_cell_angle_beta 118.88
_cell_angle_gamma 90.00
loop_
_symmetry_equiv_pos_as_xyz
'x,y,z'
'-x,-y,-z'
'-x,y,-z'
'x,-y,z'
'x+1/2,y+1/2,z'
'-x+1/2,-y+1/2,-z'
'-x+1/2,y+1/2,-z'
'x+1/2,-y+1/2,z'
loop_
_atom_site_label
_atom_site_fract_x
_atom_site_fract_y
_atom_site_fract_z
_atom_site_occupancy
Tm1 0.2370 0.0000 0.2944 1
Be1 0.0000 0.5000 0.0000 1
Si1 0.0000 0.0000 0.5000 1
Pd1 0.0601 0.2430 0.8223 1
Pd2 0.2278 0.5000 0.2720 1
```

Properties
E_form (uncorrected) = -710 meV per atom
Magnetic moment = 0.00 μB/f.u.
Total energy = -5.635 eV per atom



11.
# TmBeSi2Pd

A relaxed structure of TmBeSi2Pd (GGA-PBE, Alexandria via LeMat-Bulk).

```
data_TmBeSi2Pd
_symmetry_space_group_name_H-M 'I -4 m 2'
_symmetry_Int_Tables_number 119
_symmetry_space_group_name_Hall 'I -4 -2'
_cell_length_a 3.9072
_cell_length_b 3.9072
_cell_length_c 10.2079
_cell_angle_alpha 90.00
_cell_angle_beta 90.00
_cell_angle_gamma 90.00
loop_
_atom_site_label
_atom_site_fract_x
_atom_site_fract_y
_atom_site_fract_z
_atom_site_occupancy
Tm1 0.0000 0.0000 0.0000 1
Be1 0.0000 0.5000 0.2500 1
Si1 0.0000 0.0000 0.3859 1
Pd1 0.0000 0.5000 0.7500 1
```

Properties
E_form (uncorrected) = -701 meV per atom
Magnetic moment = 0.00 μB/f.u.
Total energy = -5.548 eV per atom



12.
# UBeSi2Pd

A relaxed structure of UBeSi2Pd (GGA-PBE, Alexandria via LeMat-Bulk).

```
data_UBeSi2Pd
_symmetry_space_group_name_H-M 'I -4 m 2'
_symmetry_Int_Tables_number 119
_symmetry_space_group_name_Hall 'I -4 -2'
_cell_length_a 3.9181
_cell_length_b 3.9181
_cell_length_c 10.3004
_cell_angle_alpha 90.00
_cell_angle_beta 90.00
_cell_angle_gamma 90.00
loop_
_atom_site_label
_atom_site_fract_x
_atom_site_fract_y
_atom_site_fract_z
_atom_site_occupancy
U1 0.0000 0.0000 0.0000 1
Be1 0.0000 0.5000 0.2500 1
Si1 0.0000 0.0000 0.3862 1
Pd1 0.0000 0.5000 0.7500 1
```

Properties
E_form (uncorrected) = -437 meV per atom
Magnetic moment = 2.47 μB/f.u.
Total energy = -6.647 eV per atom